[1]
Below is PrCo3Ni2 after structural relaxation, with properties calculated at the PBE level. Values from VASP.

```
&SYSTEM
  ibrav = 0, nat = 6, ntyp = 3
/
ATOMIC_SPECIES
Pr 140.91 Pr.upf
Ni 58.69 Ni.upf
Co 58.93 Co.upf
ATOMIC_POSITIONS angstrom
Pr 0.000 0.000 0.000
Ni 0.590 -1.701 2.231
Ni 0.025 1.078 2.657
Co -1.651 -0.739 2.636
Co -1.381 -2.667 1.095
Co -2.228 1.501 1.733
CELL_PARAMETERS angstrom
-3.917 -0.855 0.384
1.154 -4.480 1.806
-0.539 3.856 3.083
```

Properties
E_tot	-6.380	eV/atom
density	8.4	g/cm³
volume	14.34	Å³/atom
space group	P6/mmm

[2]
Below is Te2SeCl after structural relaxation, with properties calculated at the PBE level. Values from VASP.

```
&SYSTEM
  ibrav = 0, nat = 4, ntyp = 3
/
ATOMIC_SPECIES
Cl 35.45 Cl.upf
Se 78.96 Se.upf
Te 127.60 Te.upf
ATOMIC_POSITIONS angstrom
Cl -1.921 1.986 3.322
Se -4.254 0.402 5.851
Te -2.995 3.096 5.179
Te -1.978 -1.952 1.915
CELL_PARAMETERS angstrom
-3.154 -1.140 -1.142
0.491 -4.101 2.736
-3.394 3.509 5.869
```

Properties
E_tot	-2.873	eV/atom
density	4.6	g/cm³
volume	33.49	Å³/atom
space group	Pmm2

[3]
Below is LiHoGaAg after structural relaxation, with properties calculated at the PBE level. Values from VASP.

```
&SYSTEM
  ibrav = 0, nat = 4, ntyp = 4
/
ATOMIC_SPECIES
Ga 69.72 Ga.upf
Ho 164.93 Ho.upf
Ag 107.87 Ag.upf
Li 6.94 Li.upf
ATOMIC_POSITIONS angstrom
Ga -6.709 1.142 5.698
Ho -4.472 0.761 3.799
Ag -2.236 0.381 1.899
Li 0.000 0.000 0.000
CELL_PARAMETERS angstrom
-1.618 2.636 3.711
-4.716 0.973 0.398
-2.611 -2.087 3.489
```

Properties
E_tot	-3.442	eV/atom
density	7.3	g/cm³
volume	19.94	Å³/atom
space group	F-43m

[4]
Below is MnWBr2 after structural relaxation, with properties calculated at the PBE level. Values from VASP.

```
&SYSTEM
  ibrav = 0, nat = 4, ntyp = 3
/
ATOMIC_SPECIES
Br 79.90 Br.upf
Mn 54.94 Mn.upf
W 183.84 W.upf
ATOMIC_POSITIONS angstrom
Br 0.000 0.000 9.461
Br 0.000 0.000 5.248
Mn 0.714 1.354 2.452
W 0.714 1.354 7.355
CELL_PARAMETERS angstrom
3.286 -0.003 0.000
-1.858 2.710 0.000
0.000 0.000 9.806
```

Properties
E_tot	-5.525	eV/atom
density	7.6	g/cm³
volume	21.82	Å³/atom
space group	Cmmm